{"formula": "BaMg2Ni", "functional": "GGA-PBE", "state": "optimized geometry", "lattice": [[4.0976, 2.8415, 1.5640], [-0.5116, 3.3572, 3.9721], [2.2843, -1.0145, 4.5895]], "species": ["Mg", "Mg", "Ni", "Ba"], "frac_coords": [[0.7500, 0.7500, 0.7500], [0.2500, 0.2500, 0.2500], [0.0000, 0.0000, 0.0000], [0.5000, 0.5000, 0.5000]], "total_energy_ev_per_atom": -2.400, "sg": "Fm-3m, No. 225", "formation_enthalpy_0k_mev_per_atom": 323, "magmom_total_mub_per_fu": 0.0, "crystal_system": "cubic", "mass_density_g_cm3": 4.0}


{"formula": "CeFeTe", "functional": "GGA-PBE", "state": "optimized geometry", "lattice": [[4.1539, 0.0000, 0.0000], [0.0000, 4.1539, 0.0000], [-2.0770, -2.0770, 9.9055]], "species": ["Fe", "Fe", "Te", "Te", "Ce", "Ce"], "frac_coords": [[0.7323, 0.7323, 0.4646], [0.2677, 0.2677, 0.5354], [0.5992, 0.5992, 0.1984], [0.4008, 0.4008, 0.8016], [0.1660, 0.1660, 0.3319], [0.8340, 0.8340, 0.6681]], "total_energy_ev_per_atom": -6.311, "formation_energy_uncorrected_ev_per_atom": -0.465, "sg": "I4/mmm, No. 139", "magmom_total_mub_per_fu": 0.1, "crystal_system": "tetragonal", "mass_density_g_cm3": 6.3}


{"formula": "ErSc2Cd2", "functional": "GGA-PBE", "state": "optimized geometry", "lattice": [[5.0189, 0.0000, 0.0000], [-2.5094, 4.3465, 0.0000], [0.0000, 0.0000, 6.0322]], "species": ["Cd", "Cd", "Sc", "Sc", "Er"], "frac_coords": [[0.3333, 0.6667, 0.1590], [0.6667, 0.3333, 0.8410], [0.3333, 0.6667, 0.6460], [0.6667, 0.3333, 0.3540], [0.0000, 0.0000, 0.0000]], "total_energy_ev_per_atom": -3.822, "sg": "P-3m1, No. 164", "formation_enthalpy_0k_mev_per_atom": -10, "magmom_total_mub_per_fu": 0.9, "crystal_system": "trigonal", "de_polymorph_mev_per_atom": 221.4, "mass_density_g_cm3": 6.1}


{"formula": "MnFePt2", "functional": "GGA-PBE", "state": "optimized geometry", "lattice": [[2.8083, 0.0000, 0.0000], [0.0000, 2.8083, 0.0000], [0.0000, 0.0000, 7.3153]], "species": ["Pt", "Pt", "Fe", "Mn"], "frac_coords": [[0.5000, 0.5000, 0.2723], [0.0000, 0.0000, 0.9830], [0.0000, 0.0000, 0.5047], [0.5000, 0.5000, 0.7400]], "total_energy_ev_per_atom": -7.542, "sg": "P4mm, No. 99", "formation_enthalpy_0k_mev_per_atom": -114, "magmom_total_mub_per_fu": 6.9, "crystal_system": "tetragonal", "mass_density_g_cm3": 14.4}


{"formula": "Zn5Pd3", "functional": "GGA-PBE", "state": "optimized geometry", "lattice": [[4.5151, -0.0049, -1.2617], [-1.7470, 4.1634, -1.2617], [-0.0055, -0.0083, 6.1865]], "species": ["Pd", "Pd", "Pd", "Zn", "Zn", "Zn", "Zn", "Zn"], "frac_coords": [[0.7578, 0.7578, 0.5155], [0.5000, 0.5000, 0.0000], [0.2422, 0.2422, 0.4845], [0.1264, 0.6264, 0.2528], [0.0000, 0.0000, 0.0000], [0.6264, 0.1264, 0.2528], [0.3736, 0.8736, 0.7472], [0.8736, 0.3736, 0.7472]], "total_energy_ev_per_atom": -3.166, "sg": "Fmmm, No. 69", "formation_enthalpy_0k_mev_per_atom": -422, "magmom_total_mub_per_fu": 0.0, "crystal_system": "orthorhombic", "de_polymorph_mev_per_atom": 21.7, "mass_density_g_cm3": 9.2}


{"formula": "Tb3CeY4S8", "functional": "GGA-PBE", "state": "optimized geometry", "lattice": [[-0.3517, 1.6295, 7.6861], [-7.6745, -1.7466, 0.0191], [5.2160, -5.2430, -2.6736]], "species": ["S", "S", "S", "S", "S", "S", "S", "S", "Tb", "Tb", "Tb", "Y", "Y", "Y", "Y", "Ce"], "frac_coords": [[0.2520, 0.2467, 0.9994], [0.7474, 0.2467, 0.9994], [0.7480, 0.7533, 0.0006], [0.2527, 0.7533, 0.5053], [0.7503, 0.7509, 0.5006], [0.2526, 0.7533, 0.0006], [0.7473, 0.2467, 0.4947], [0.2497, 0.2491, 0.4994], [0.5000, 0.5000, 0.5000], [0.0000, 0.5000, 0.5000], [0.5000, 0.5000, 0.0000], [0.5000, 0.0000, 0.0000], [0.0000, 0.0000, 0.0000], [0.0000, 0.0000, 0.5000], [0.5000, 0.0000, 0.5000], [0.0000, 0.5000, 0.0000]], "total_energy_ev_per_atom": -6.929, "formation_energy_uncorrected_ev_per_atom": -2.010, "sg": "R-3m, No. 166", "magmom_total_mub_per_fu": 0.0, "crystal_system": "trigonal", "mass_density_g_cm3": 5.9}